A relaxed TbPd4 crystal. Source: the Alexandria database, functional PBE.

abc: 4.946 4.946 4.946
angles: 90.00 90.00 90.00
Space group Pm-3m (No. 221)
Symmetry-distinct sites (fractional):
Tb 0.000 0.000 0.000 [1 per cell]
Pd 0.000 0.000 0.500 [3 per cell]
Pd 0.500 0.500 0.500 [1 per cell]

- Fermi-level density of states (states/eV/atom) = 0.36
- total energy (eV per atom) = -4.38
- energy of formation (eV/atom) = 0.7045


A relaxed Tb3Pd crystal. Source: the Alexandria database, functional PBE.

abc: 6.097 8.976 8.976
angles: 83.41 70.26 70.27
Space group P1 (No. 1)
Symmetry-distinct sites (fractional):
Tb 0.000 0.000 0.000 [1 per cell]
Tb 0.001 0.286 0.713 [1 per cell]
Tb 0.082 0.642 0.765 [1 per cell]
Tb 0.150 0.833 0.357 [1 per cell]
Tb 0.340 0.452 0.356 [1 per cell]
Tb 0.357 0.286 0.000 [1 per cell]
Tb 0.489 0.643 0.948 [1 per cell]
Tb 0.512 0.051 0.357 [1 per cell]
Tb 0.644 0.999 0.714 [1 per cell]
Tb 0.662 0.642 0.547 [1 per cell]
Tb 0.850 0.643 0.167 [1 per cell]
Tb 0.920 0.235 0.356 [1 per cell]
Pd 0.206 0.938 0.653 [1 per cell]
Pd 0.500 0.938 0.062 [1 per cell]
Pd 0.501 0.346 0.652 [1 per cell]
Pd 0.796 0.348 0.061 [1 per cell]

- Fermi-level density of states (states/eV/atom) = 1.63
- total energy (eV per atom) = -5.16
- energy of formation (eV/atom) = -0.3935


A relaxed Tb3Pd13 crystal. Source: the Alexandria database, functional PBE.

abc: 8.455 7.851 8.342
angles: 90.00 90.00 90.00
Space group Amm2 (No. 38)
Symmetry-distinct sites (fractional):
Tb 0.000 0.000 0.000 [2 per cell]
Tb 0.271 0.000 0.310 [4 per cell]
Pd 0.000 0.000 0.547 [2 per cell]
Pd 0.000 0.233 0.276 [4 per cell]
Pd 0.249 0.000 0.787 [4 per cell]
Pd 0.255 0.245 0.048 [8 per cell]
Pd 0.500 0.000 0.044 [2 per cell]
Pd 0.500 0.000 0.551 [2 per cell]
Pd 0.500 0.234 0.796 [4 per cell]

- Fermi-level density of states (states/eV/atom) = 0.66
- total energy (eV per atom) = -5.65
- energy of formation (eV/atom) = -0.5624


A relaxed Tb2Pd3 crystal. Source: the Alexandria database, functional PBE.

abc: 5.970 13.166 5.805
angles: 90.00 90.00 90.00
Space group Ibam (No. 72)
Symmetry-distinct sites (fractional):
Tb 0.248 0.157 0.000 [8 per cell]
Pd 0.000 0.000 0.250 [4 per cell]
Pd 0.220 0.374 0.000 [8 per cell]

- Fermi-level density of states (states/eV/atom) = 0.46
- total energy (eV per atom) = -5.70
- energy of formation (eV/atom) = -0.7351